The following is a DFT calculation (PBE) of a geometry-optimized RbTi3Tl structure.

Results
As for the density of states at the Fermi level: 10.1 states/eV/f.u. The calculation puts the total magnetization at 7.4 μB per cell. Its energy of formation from the pure elements is 1.30 eV per atom.

a b c (Å): 5.4461 5.4461 5.4461
angles (deg): 90.00 90.00 90.00
Space group Pm-3m (No. 221)
Asymmetric unit:
1 Rb 0.0000 0.0000 0.0000
2 Ti 0.0000 0.5000 0.5000
3 Tl 0.5000 0.5000 0.5000